Density functional theory data (PBE) for a relaxed TbTaAsO crystal.

Unit cell a=4.104 b=4.104 c=7.942 alpha=90.00 beta=90.00 gamma=90.00
Element x y z (fractional)
O1 0.000 0.000 0.000
O2 0.500 0.500 0.000
As1 0.500 0.000 0.757
As2 0.000 0.500 0.243
Ta1 0.000 0.500 0.894
Ta2 0.500 0.000 0.106
Tb1 0.500 0.500 0.500
Tb2 0.000 0.000 0.500

* relative energy among the computed polymorphs: 4.341 eV per formula unit